Entry 1:
Crystalline BaLi2CaAu2 at its relaxed geometry. Source: Alexandria via LeMat-Bulk, functional PBE-GGA.

For the formation energy, the calculation gives -3.31 eV/f.u. The final energy comes out at -17.62 eV for the cell shown.

The space group is P-3m1 (No. 164) and the conventional cell measures 4.6899, 4.6899 and 8.1715 Å, with angles of 90.00, 90.00 and 120.00 degrees. The inequivalent atoms are Ba at (0.0000, 0.0000, 0.0000), Li at (0.3333, 0.6667, 0.6931), Ca at (0.0000, 0.0000, 0.5000) and Au at (0.3333, 0.6667, 0.2927).

=====

Entry 2:
Crystalline RbSi3Bi at its relaxed geometry. Source: Alexandria via LeMat-Bulk, functional PBE-GGA.

The final energy comes out at -15.63 eV for the cell shown. The energy relative to the lowest polymorph listed for this composition comes out at 0.000 eV/atom.

The space group is Pm-3m (No. 221) and the conventional cell measures 5.5955, 5.5955 and 5.5955 Å, with angles of 90.00, 90.00 and 90.00 degrees. The inequivalent atoms are Rb at (0.0000, 0.0000, 0.0000), Si at (0.0000, 0.5000, 0.5000) and Bi at (0.5000, 0.5000, 0.5000).

=====

Entry 3:
Crystalline HoTa4Os5 at its relaxed geometry. Source: Alexandria via LeMat-Bulk, functional PBE-GGA.

For the formation energy, the calculation gives -2.92 eV/f.u. The final energy comes out at -111.05 eV for the cell shown.

The space group is P4/mmm (No. 123) and the conventional cell measures 3.1405, 3.1405 and 17.2598 Å, with angles of 90.00, 90.00 and 90.00 degrees. The inequivalent atoms are Ho at (0.0000, 0.0000, 0.0000), Ta at (0.0000, 0.0000, 0.2094), Ta at (0.0000, 0.0000, 0.4040), Os at (0.5000, 0.5000, 0.1258), Os at (0.5000, 0.5000, 0.3106) and Os at (0.5000, 0.5000, 0.5000).

=====

Entry 4:
Crystalline La3Sm7 at its relaxed geometry. Source: Alexandria via LeMat-Bulk, functional PBE-GGA.

For the formation energy, the calculation gives 1.67 eV/f.u. The final energy comes out at -92.30 eV for the cell shown. The energy relative to the lowest polymorph listed for this composition comes out at 0.148 eV/atom.

The space group is P6_3mc (No. 186) and the conventional cell measures 11.0417, 11.0417 and 6.6194 Å, with angles of 90.00, 90.00 and 120.00 degrees. The inequivalent atoms are La at (0.2069, 0.4137, 0.0000), Sm at (0.0559, 0.5279, 0.6412), Sm at (0.1184, 0.2368, 0.4801) and Sm at (0.3333, 0.6667, 0.3685).

=====

Entry 5:
Crystalline Dy5In2Os2 at its relaxed geometry. Source: Alexandria via LeMat-Bulk, functional PBE-GGA.

For the formation energy, the calculation gives -2.87 eV/f.u. The final energy comes out at -215.29 eV for the cell shown.

The space group is Cmce (No. 64) and the conventional cell measures 16.5478, 7.4740 and 7.5682 Å, with angles of 90.00, 90.00 and 90.00 degrees. The inequivalent atoms are Dy at (0.0000, 0.0000, 0.0000), Dy at (0.1183, 0.1821, 0.3200), In at (0.2249, 0.0000, 0.0000) and Os at (0.0000, 0.1145, 0.6200).

=====

Entry 6:
Crystalline TbHoMg14 at its relaxed geometry. Source: Alexandria via LeMat-Bulk, functional PBE-GGA.

For the formation energy, the calculation gives -0.46 eV/f.u. The final energy comes out at -32.00 eV for the cell shown.

The space group is P4/mmm (No. 123) and the conventional cell measures 6.9226, 6.9226 and 7.9893 Å, with angles of 90.00, 90.00 and 90.00 degrees. The inequivalent atoms are Tb at (0.0000, 0.0000, 0.0000), Ho at (0.5000, 0.5000, 0.0000), Mg at (0.0000, 0.0000, 0.5000), Mg at (0.0000, 0.5000, 0.0000), Mg at (0.0000, 0.5000, 0.5000), Mg at (0.2506, 0.2506, 0.2611) and Mg at (0.5000, 0.5000, 0.5000).